No. 1
The following is a DFT calculation (PBE) of a geometry-optimized Li2CoRu structure.

Cell lengths 2.468, 2.468, 8.547 Å; angles 90.00, 90.00, 90.00 degrees
Sites, in units of the cell vectors:
Li1 0.000 0.000 0.243
Li2 0.000 0.000 0.757
Co1 0.500 0.500 0.000
Ru1 0.500 0.500 0.500

Formation enthalpy at 0 K: 0.2610 eV per atom
VASP energy: -4.791 eV per atom
Size of the total moment: 1.8 Bohr magnetons per cell
E above lowest polymorph: 138 meV per atom
Density of states at the Fermi level: 4.04 states/eV/cell

No. 2
The following is a DFT calculation (PBE) of a geometry-optimized K2AcSnTe4 structure.

Cell lengths 8.173, 4.652, 8.743 Å; angles 90.00, 107.86, 90.00 degrees
Sites, in units of the cell vectors:
K1 0.000 0.000 0.000
K2 0.500 0.500 0.000
Ac1 0.000 0.500 0.500
Sn1 0.500 0.000 0.500
Te1 0.255 0.000 0.719
Te2 0.279 0.500 0.291
Te3 0.721 0.500 0.709
Te4 0.745 0.000 0.281

VASP energy: -3.843 eV per atom
Size of the total moment: 0.0 Bohr magnetons per cell
Density of states at the Fermi level: 3.51 states/eV/cell

No. 3
The following is a DFT calculation (PBE) of a geometry-optimized K2SrTl3F12 structure.

Cell lengths 7.678, 7.678, 7.678 Å; angles 66.14, 66.14, 66.14 degrees
Sites, in units of the cell vectors:
K1 0.133 0.133 0.133
K2 0.867 0.867 0.867
Sr1 0.500 0.500 0.500
Tl1 0.000 0.500 0.500
Tl2 0.500 0.000 0.500
Tl3 0.500 0.500 0.000
F1 0.099 0.635 0.635
F2 0.238 0.238 0.617
F3 0.238 0.617 0.238
F4 0.365 0.365 0.901
F5 0.365 0.901 0.365
F6 0.383 0.762 0.762
F7 0.617 0.238 0.238
F8 0.635 0.099 0.635
F9 0.635 0.635 0.099
F10 0.762 0.383 0.762
F11 0.762 0.762 0.383
F12 0.901 0.365 0.365

VASP energy: -4.194 eV per atom
Size of the total moment: 0.0 Bohr magnetons per cell
Density of states at the Fermi level: 3.18 states/eV/cell

No. 4
The following is a DFT calculation (PBE) of a geometry-optimized Pm3ReS2O6 structure.

Cell lengths 6.983, 6.983, 5.142 Å; angles 95.16, 95.16, 58.13 degrees
Sites, in units of the cell vectors:
Pm1 0.000 0.000 0.000
Pm2 0.000 0.500 0.500
Pm3 0.500 0.000 0.500
Re1 0.500 0.500 0.500
S1 0.205 0.205 0.881
S2 0.795 0.795 0.119
O1 0.236 0.657 0.708
O2 0.343 0.764 0.292
O3 0.355 0.355 0.327
O4 0.645 0.645 0.673
O5 0.657 0.236 0.708
O6 0.764 0.343 0.292

VASP energy: -7.486 eV per atom
Size of the total moment: 0.0 Bohr magnetons per cell
Density of states at the Fermi level: 0.03 states/eV/cell

No. 5
The following is a DFT calculation (PBE) of a geometry-optimized MnTe2Au structure.

Cell lengths 7.323, 7.323, 7.323 Å; angles 131.17, 131.17, 71.55 degrees
Sites, in units of the cell vectors:
Mn1 0.000 0.000 0.000
Mn2 0.750 0.250 0.500
Te1 0.083 0.625 0.958
Te2 0.375 0.333 0.458
Te3 0.667 0.125 0.042
Te4 0.875 0.917 0.542
Au1 0.250 0.750 0.500
Au2 0.500 0.500 0.000

VASP energy: -4.466 eV per atom
Size of the total moment: 0.0 Bohr magnetons per cell
E above lowest polymorph: 307 meV per atom
Density of states at the Fermi level: 7.12 states/eV/cell

No. 6
The following is a DFT calculation (PBE) of a geometry-optimized NdCuRh structure.

Cell lengths 5.553, 5.553, 5.553 Å; angles 40.38, 40.38, 40.38 degrees
Sites, in units of the cell vectors:
Nd1 0.000 0.000 0.000
Cu1 0.199 0.199 0.199
Rh1 0.785 0.785 0.785

Formation enthalpy at 0 K: -0.0418 eV per atom
VASP energy: -5.447 eV per atom
Size of the total moment: 0.0 Bohr magnetons per cell
E above lowest polymorph: 432 meV per atom
Density of states at the Fermi level: 2.11 states/eV/cell

No. 7
The following is a DFT calculation (PBE) of a geometry-optimized LiDy3 structure.

Cell lengths 3.319, 3.395, 10.757 Å; angles 90.00, 90.00, 90.00 degrees
Sites, in units of the cell vectors:
Li1 0.000 0.000 0.000
Dy1 0.000 0.500 0.259
Dy2 0.500 0.000 0.493
Dy3 0.500 0.500 0.774

Formation enthalpy at 0 K: 0.2783 eV per atom
VASP energy: -3.652 eV per atom
Size of the total moment: 0.3 Bohr magnetons per cell
E above lowest polymorph: 200 meV per atom
Density of states at the Fermi level: 5.76 states/eV/cell

No. 8
The following is a DFT calculation (PBE) of a geometry-optimized HfFeTcNi2 structure.

Cell lengths 4.407, 4.407, 4.244 Å; angles 90.00, 90.00, 90.00 degrees
Sites, in units of the cell vectors:
Hf1 0.000 0.000 0.000
Fe1 0.500 0.500 0.000
Tc1 0.500 0.500 0.500
Ni1 0.000 0.500 0.500
Ni2 0.500 0.000 0.500

Formation enthalpy at 0 K: 0.9426 eV per atom
VASP energy: -7.126 eV per atom
Size of the total moment: 0.0 Bohr magnetons per cell
Density of states at the Fermi level: 7.47 states/eV/cell